# Rb5Mn2F12 (PBE with a Hubbard U, optimized geometry)
# Size of the total moment, μB/atom: 0.3684
# Crystal system: monoclinic
# Total energy, eV/atom: -4.7234
data_Rb5Mn2F12
_symmetry_space_group_name_H-M 'C 1 2/m 1'
_symmetry_Int_Tables_number 12
_cell_length_a 11.9586
_cell_length_b 10.8257
_cell_length_c 7.4618
_cell_angle_alpha 90.00
_cell_angle_beta 113.97
_cell_angle_gamma 90.00
loop_
_symmetry_equiv_pos_as_xyz
'x,y,z'
'-x,-y,-z'
'-x,y,-z'
'x,-y,z'
'x+1/2,y+1/2,z'
'-x+1/2,-y+1/2,-z'
'-x+1/2,y+1/2,-z'
'x+1/2,-y+1/2,z'
loop_
_atom_site_label
_atom_site_fract_x
_atom_site_fract_y
_atom_site_fract_z
_atom_site_occupancy
Rb1 0.0000 0.0000 0.0000 1
Rb2 0.1624 0.5000 0.5881 1
Rb3 0.1779 0.5000 0.1354 1
Mn1 0.0000 0.1495 0.5000 1
F1 0.0176 0.5000 0.7734 1
F2 0.0926 0.1425 0.7697 1
F3 0.0953 0.0000 0.4672 1
F4 0.1137 0.2546 0.4685 1